The following is a GGA+U calculation of an optimized crystal structure of Ho2V2O7, from Alexandria via LeMat-Bulk.

Cell: 7.1335 7.1335 7.1335 Å, 60.00 60.00 60.00°
Atoms (fractional coordinates):
Ho 0.0000 0.0000 0.0000
Ho 0.0000 0.0000 0.5000
Ho 0.0000 0.5000 0.0000
Ho 0.5000 0.0000 0.0000
V 0.0000 0.5000 0.5000
V 0.5000 0.0000 0.5000
V 0.5000 0.5000 0.0000
V 0.5000 0.5000 0.5000
O 0.1250 0.1250 0.1250
O 0.1680 0.1680 0.5820
O 0.1680 0.5820 0.1680
O 0.1680 0.5820 0.5820
O 0.4180 0.4180 0.8320
O 0.4180 0.8320 0.4180
O 0.4180 0.8320 0.8320
O 0.5820 0.1680 0.1680
O 0.5820 0.1680 0.5820
O 0.5820 0.5820 0.1680
O 0.8320 0.4180 0.4180
O 0.8320 0.4180 0.8320
O 0.8320 0.8320 0.4180
O 0.8750 0.8750 0.8750

Results
- Crystal system: cubic
- Energy relative to the lowest polymorph listed for this composition: 0.00 eV per formula unit
- Space group: Fd-3m (227)
- ρ: 7.04 g cm⁻³
- Total magnetic moment: 2.0 μB/f.u.